# RbCd2Pb2

A relaxed structure of RbCd2Pb2 (PBE, the Alexandria database).

Structure (POSCAR):
```
RbCd2Pb2
1.0
8.224 0.009 1.004
4.086 5.693 1.190
5.112 0.731 7.800
Cd Pb Rb
4 4 2
direct
0.890 0.759 0.898
0.110 0.241 0.102
0.623 0.423 0.215
0.377 0.577 0.785
0.473 0.816 0.911
0.273 0.826 0.437
0.727 0.174 0.563
0.527 0.184 0.089
0.102 0.269 0.683
0.898 0.731 0.317
```

Results
Raw total energy, eV/atom: -2.128
Space-group type: P-1
Energy above the lowest structure with this stoichiometry, meV/atom: 18

=====

# RbCd2Pb

A relaxed structure of RbCd2Pb (PBE, the Alexandria database).

Structure (POSCAR):
```
RbCd2Pb
1.0
-3.268 1.364 -2.032
-1.131 -3.848 -0.763
-4.378 -0.097 6.976
Cd Rb Pb
2 1 1
direct
0.000 0.000 0.803
0.000 0.000 0.197
0.500 0.500 0.500
0.500 0.500 0.000
```

Results
Raw total energy, eV/atom: -1.599
Space-group type: P4/mmm

=====

# Rb3CdPb4

A relaxed structure of Rb3CdPb4 (PBE, the Alexandria database).

Structure (POSCAR):
```
Rb3CdPb4
1.0
-2.109 2.656 -6.041
1.612 -6.309 -3.337
-12.872 -4.597 2.473
Pb Rb Cd
8 6 2
direct
0.314 0.500 0.883
0.686 0.000 0.383
0.041 0.238 0.000
0.041 0.762 0.000
0.959 0.262 0.500
0.686 0.000 0.617
0.959 0.738 0.500
0.314 0.500 0.117
0.453 0.500 0.500
0.180 0.000 0.754
0.820 0.500 0.254
0.180 0.000 0.246
0.820 0.500 0.746
0.547 0.000 0.000
0.303 0.000 0.500
0.697 0.500 0.000
```

Results
Raw total energy, eV/atom: -2.505
Space-group type: Pmmn

=====

# RbCd2Pb

A relaxed structure of RbCd2Pb (PBE, the Alexandria database).

Structure (POSCAR):
```
RbCd2Pb
1.0
-5.753 -1.106 0.882
-0.244 -2.861 -5.182
-0.588 -10.750 2.576
Pb Rb Cd
2 2 4
direct
0.750 0.250 0.500
0.000 0.000 0.000
0.500 0.500 0.000
0.250 0.750 0.500
0.878 0.625 0.250
0.875 0.122 0.750
0.375 0.128 0.750
0.872 0.125 0.250
```

Results
Raw total energy, eV/atom: -1.574
Space-group type: I-42d

=====

# RbCdRhPb2

A relaxed structure of RbCdRhPb2 (PBE, the Alexandria database).

Structure (POSCAR):
```
RbCdRhPb2
1.0
-5.346 -0.464 -0.193
0.468 -5.348 -0.101
-0.185 -0.118 5.408
Rh Rb Pb Cd
1 1 2 1
direct
0.000 0.000 0.000
0.500 0.500 0.500
0.000 0.500 0.000
0.500 0.000 0.000
0.000 0.000 0.500
```

Results
Raw total energy, eV/atom: -3.356
Space-group type: P4/mmm

=====

# RbCd2RhPb

A relaxed structure of RbCd2RhPb (PBE, the Alexandria database).

Structure (POSCAR):
```
RbCd2RhPb
1.0
5.387 0.000 0.000
0.000 5.387 0.000
0.000 0.000 5.205
Rb Rh Pb Cd
1 1 1 2
direct
0.500 0.500 0.500
0.000 0.000 0.000
0.000 0.000 0.500
0.500 0.000 0.000
0.000 0.500 0.000
```

Results
Raw total energy, eV/atom: -2.888
Space-group type: P4/mmm

=====

The calculation returns the following calculated formation energy values, one per record and in order: -0.085, 0.028, -0.174, 0.052, -0.026, -0.117 eV/atom.